Entry 1:
## TbPaN (GGA-PBE)

Data for an optimized crystal structure of TbPaN.

Calculated values
As for the symmetry: No. 107. For the distance to the lowest polymorph of the same formula, the calculation gives 1268.9 meV/atom.

Lattice parameters (Å, degrees): 5.151 5.151 5.151 126.38 126.38 79.26
Positions (direct):
1 Tb 0.000 0.000 0.000
2 Pa 0.484 0.484 0.000
3 N 0.729 0.729 0.000

---

Entry 2:
## TbPa3N4 (GGA-PBE)

Data for an optimized crystal structure of TbPa3N4.

Calculated values
As for the symmetry: No. 65. For the final energy, the calculation gives -79.5 eV per formula unit.

Lattice parameters (Å, degrees): 6.052 6.052 3.499 90.00 90.00 109.39
Positions (direct):
1 Tb 0.000 0.000 0.000
2 Pa 0.000 0.500 0.500
3 Pa 0.500 0.000 0.500
4 Pa 0.500 0.500 0.000
5 N 0.250 0.750 0.000
6 N 0.255 0.255 0.500
7 N 0.745 0.745 0.500
8 N 0.750 0.250 0.000

---

Entry 3:
## TbPa2N3 (GGA-PBE)

Data for an optimized crystal structure of TbPa2N3.

Calculated values
As for the symmetry: No. 71. For the distance to the lowest polymorph of the same formula, the calculation gives 0.0 meV/atom.

Lattice parameters (Å, degrees): 6.054 6.054 6.054 146.47 131.72 60.06
Positions (direct):
1 Tb 0.000 0.000 0.000
2 Pa 0.334 0.334 0.000
3 Pa 0.666 0.666 0.000
4 N 0.172 0.672 0.500
5 N 0.500 0.000 0.500
6 N 0.828 0.328 0.500

---

Entry 4:
## TbPa2N4 (GGA-PBE)

Data for an optimized crystal structure of TbPa2N4.

Calculated values
As for the symmetry: No. 63. For the distance to the lowest polymorph of the same formula, the calculation gives 0.0 meV/atom.

Lattice parameters (Å, degrees): 6.014 6.014 10.724 90.00 90.00 146.88
Positions (direct):
1 Tb 0.109 0.891 0.750
2 Tb 0.891 0.109 0.250
3 Pa 0.370 0.630 0.572
4 Pa 0.370 0.630 0.928
5 Pa 0.630 0.370 0.072
6 Pa 0.630 0.370 0.428
7 N 0.000 0.000 0.000
8 N 0.000 0.000 0.500
9 N 0.272 0.728 0.108
10 N 0.272 0.728 0.392
11 N 0.469 0.531 0.750
12 N 0.531 0.469 0.250
13 N 0.728 0.272 0.608
14 N 0.728 0.272 0.892

---

Entry 5:
## TbPa3N (GGA-PBE)

Data for an optimized crystal structure of TbPa3N.

Calculated values
As for the symmetry: No. 221. For the final energy, the calculation gives -43.9 eV per formula unit.

Lattice parameters (Å, degrees): 4.837 4.837 4.837 90.00 90.00 90.00
Positions (direct):
1 Tb 0.000 0.000 0.000
2 Pa 0.000 0.500 0.500
3 Pa 0.500 0.000 0.500
4 Pa 0.500 0.500 0.000
5 N 0.500 0.500 0.500

---

Entry 6:
## TbPa2N3 (GGA-PBE)

Data for an optimized crystal structure of TbPa2N3.

Calculated values
As for the symmetry: No. 191. For the distance to the lowest polymorph of the same formula, the calculation gives 280.8 meV/atom.

Lattice parameters (Å, degrees): 5.857 5.857 3.359 90.00 90.00 120.00
Positions (direct):
1 Tb 0.000 0.000 0.000
2 Pa 0.333 0.667 0.500
3 Pa 0.667 0.333 0.500
4 N 0.000 0.500 0.000
5 N 0.500 0.000 0.000
6 N 0.500 0.500 0.000

---

Entry 7:
## TbPaN (GGA-PBE)

Data for an optimized crystal structure of TbPaN.

Calculated values
As for the symmetry: No. 156. For the distance to the lowest polymorph of the same formula, the calculation gives 32.8 meV/atom.

Lattice parameters (Å, degrees): 3.444 3.444 6.053 90.00 90.00 120.00
Positions (direct):
1 Tb 0.000 0.000 0.000
2 Pa 0.667 0.333 0.536
3 N 0.333 0.667 0.755

---

Entry 8:
## TbPa2N (GGA-PBE)

Data for an optimized crystal structure of TbPa2N.

Calculated values
As for the symmetry: No. 166. For the final energy, the calculation gives -34.2 eV per formula unit.

Lattice parameters (Å, degrees): 9.186 9.186 9.186 21.29 21.29 21.29
Positions (direct):
1 Tb 0.000 0.000 0.000
2 Pa 0.220 0.220 0.220
3 Pa 0.780 0.780 0.780
4 N 0.500 0.500 0.500

---

Entry 9:
## TbPaN (GGA-PBE)

Data for an optimized crystal structure of TbPaN.

Calculated values
As for the symmetry: No. 166. For the distance to the lowest polymorph of the same formula, the calculation gives 0.0 meV/atom.

Lattice parameters (Å, degrees): 12.149 12.149 12.149 16.05 16.05 16.05
Positions (direct):
1 Tb 0.213 0.213 0.213
2 Tb 0.787 0.787 0.787
3 Pa 0.041 0.041 0.041
4 Pa 0.959 0.959 0.959
5 N 0.413 0.413 0.413
6 N 0.587 0.587 0.587

---

Entry 10:
## Tb2PaTe2N2 (GGA-PBE)

Data for an optimized crystal structure of Tb2PaTe2N2.

Calculated values
As for the symmetry: No. 139. For the final energy, the calculation gives -50.8 eV per formula unit.

Lattice parameters (Å, degrees): 8.749 8.749 8.749 150.88 150.88 41.65
Positions (direct):
1 Tb 0.104 0.104 0.000
2 Tb 0.896 0.896 0.000
3 Pa 0.500 0.500 0.000
4 Te 0.314 0.314 0.000
5 Te 0.686 0.686 0.000
6 N 0.000 0.500 0.500
7 N 0.500 0.000 0.500

---

Entry 11:
## TbPaTeN2 (GGA-PBE)

Data for an optimized crystal structure of TbPaTeN2.

Calculated values
As for the symmetry: No. 107. For the final energy, the calculation gives -42.5 eV per formula unit.

Lattice parameters (Å, degrees): 6.895 6.895 6.895 146.38 146.38 48.28
Positions (direct):
1 Tb 0.000 0.000 0.000
2 Pa 0.330 0.330 0.000
3 Te 0.663 0.663 0.000
4 N 0.405 0.905 0.500
5 N 0.905 0.405 0.500

---

Entry 12:
## Tb3ThPa2N6 (GGA-PBE)

Data for an optimized crystal structure of Tb3ThPa2N6.

Calculated values
As for the symmetry: No. 12. For the final energy, the calculation gives -109.9 eV per formula unit.

Lattice parameters (Å, degrees): 6.122 6.122 6.096 99.60 99.60 120.04
Positions (direct):
1 Tb 0.000 0.000 0.000
2 Tb 0.334 0.666 0.000
3 Tb 0.666 0.334 0.000
4 Th 0.500 0.500 0.500
5 Pa 0.167 0.833 0.500
6 Pa 0.833 0.167 0.500
7 N 0.072 0.420 0.261
8 N 0.232 0.232 0.739
9 N 0.420 0.072 0.261
10 N 0.580 0.928 0.739
11 N 0.768 0.768 0.261
12 N 0.928 0.580 0.739

---

Entry 13:
## TbThPa2N6 (GGA-PBE)

Data for an optimized crystal structure of TbThPa2N6.

Calculated values
As for the symmetry: No. 146. For the final energy, the calculation gives -95.7 eV per formula unit.

Lattice parameters (Å, degrees): 6.078 6.078 6.078 59.71 59.71 59.71
Positions (direct):
1 Tb 0.000 0.000 0.000
2 Th 0.505 0.505 0.505
3 Pa 0.277 0.277 0.277
4 Pa 0.774 0.774 0.774
5 N 0.079 0.408 0.646
6 N 0.145 0.908 0.576
7 N 0.408 0.646 0.079
8 N 0.576 0.145 0.908
9 N 0.646 0.079 0.408
10 N 0.908 0.576 0.145

---

Entry 14:
## Tb2ThPaN4 (GGA-PBE)

Data for an optimized crystal structure of Tb2ThPaN4.

Calculated values
As for the symmetry: No. 10. For the final energy, the calculation gives -72.5 eV per formula unit.

Lattice parameters (Å, degrees): 6.111 3.546 6.162 90.00 109.46 90.00
Positions (direct):
1 Tb 0.000 0.000 0.000
2 Tb 0.000 0.500 0.500
3 Th 0.500 0.000 0.500
4 Pa 0.500 0.500 0.000
5 N 0.256 0.500 0.236
6 N 0.260 0.000 0.767
7 N 0.740 0.000 0.233
8 N 0.744 0.500 0.764

---

Entry 15:
## Tb2PaTiN4 (GGA-PBE)

Data for an optimized crystal structure of Tb2PaTiN4.

Calculated values
As for the symmetry: No. 10. For the final energy, the calculation gives -72.6 eV per formula unit.

Lattice parameters (Å, degrees): 5.798 3.402 5.868 90.00 108.64 90.00
Positions (direct):
1 Tb 0.000 0.000 0.000
2 Tb 0.500 0.500 0.000
3 Pa 0.000 0.500 0.500
4 Ti 0.500 0.000 0.500
5 N 0.257 0.000 0.729
6 N 0.265 0.500 0.279
7 N 0.735 0.500 0.721
8 N 0.743 0.000 0.271

---

Entry 16:
## TbTm2PaN4 (GGA-PBE)

Data for an optimized crystal structure of TbTm2PaN4.

Calculated values
As for the symmetry: No. 10. For the final energy, the calculation gives -70.2 eV per formula unit.

Lattice parameters (Å, degrees): 5.954 3.461 5.965 90.00 109.16 90.00
Positions (direct):
1 Tb 0.000 0.000 0.000
2 Tm 0.500 0.000 0.500
3 Tm 0.500 0.500 0.000
4 Pa 0.000 0.500 0.500
5 N 0.248 0.500 0.263
6 N 0.251 0.000 0.744
7 N 0.749 0.000 0.256
8 N 0.752 0.500 0.737

---

Entry 17:
## Tb3TmPa2N6 (GGA-PBE)

Data for an optimized crystal structure of Tb3TmPa2N6.

Calculated values
As for the symmetry: No. 12. For the final energy, the calculation gives -107.7 eV per formula unit.

Lattice parameters (Å, degrees): 6.033 6.033 6.035 99.57 99.57 120.02
Positions (direct):
1 Tb 0.000 0.000 0.000
2 Tb 0.334 0.666 0.000
3 Tb 0.666 0.334 0.000
4 Tm 0.500 0.500 0.500
5 Pa 0.167 0.833 0.500
6 Pa 0.833 0.167 0.500
7 N 0.082 0.422 0.267
8 N 0.239 0.239 0.736
9 N 0.422 0.082 0.267
10 N 0.578 0.918 0.733
11 N 0.761 0.761 0.264
12 N 0.918 0.578 0.733

---

Entry 18:
## Tb3UPa2N6 (GGA-PBE)

Data for an optimized crystal structure of Tb3UPa2N6.

Calculated values
As for the symmetry: No. 12. For the final energy, the calculation gives -113.3 eV per formula unit.

Lattice parameters (Å, degrees): 6.033 6.033 6.039 99.59 99.59 119.97
Positions (direct):
1 Tb 0.000 0.000 0.000
2 Tb 0.332 0.668 0.000
3 Tb 0.668 0.332 0.000
4 U 0.500 0.500 0.500
5 Pa 0.167 0.833 0.500
6 Pa 0.833 0.167 0.500
7 N 0.095 0.422 0.266
8 N 0.251 0.251 0.734
9 N 0.422 0.095 0.266
10 N 0.578 0.905 0.734
11 N 0.749 0.749 0.266
12 N 0.905 0.578 0.734

---

Entry 19:
## TbU2PaN4 (GGA-PBE)

Data for an optimized crystal structure of TbU2PaN4.

Calculated values
As for the symmetry: No. 10. For the final energy, the calculation gives -81.7 eV per formula unit.

Lattice parameters (Å, degrees): 6.003 3.459 6.010 90.00 109.46 90.00
Positions (direct):
1 Tb 0.000 0.000 0.000
2 U 0.000 0.500 0.500
3 U 0.500 0.000 0.500
4 Pa 0.500 0.500 0.000
5 N 0.247 0.000 0.745
6 N 0.256 0.500 0.261
7 N 0.744 0.500 0.739
8 N 0.753 0.000 0.255

---

Entry 20:
## Tb2UPaN4 (GGA-PBE)

Data for an optimized crystal structure of Tb2UPaN4.

Calculated values
As for the symmetry: No. 10. For the final energy, the calculation gives -75.9 eV per formula unit.

Lattice parameters (Å, degrees): 6.027 3.473 6.040 90.00 109.34 90.00
Positions (direct):
1 Tb 0.000 0.000 0.000
2 Tb 0.500 0.500 0.000
3 U 0.000 0.500 0.500
4 Pa 0.500 0.000 0.500
5 N 0.240 0.000 0.733
6 N 0.251 0.500 0.266
7 N 0.749 0.500 0.734
8 N 0.760 0.000 0.267

---

no.,spin magnetization (μB per formula unit)
1,0.88
2,0.00
3,0.00
4,0.00
5,0.00
6,0.00
7,0.03
8,0.00
9,0.00
10,0.00
11,0.00
12,0.00
13,0.00
14,0.00
15,0.00
16,0.00
17,0.00
18,0.01
19,2.49
20,1.06